VASP calculation (GGA-PBEsol) on an optimized crystal structure of Cs2PbBr.

Unit cell a=6.395 b=6.395 c=6.395 alpha=60.00 beta=60.00 gamma=60.00
Site moments in Bohr magnetons follow the coordinates.
Sites, in units of the cell vectors:
Pb: 0.500 0.500 0.500  0.82
Cs: 0.250 0.250 0.250  0.07
Cs: 0.750 0.750 0.750  0.07
Br: 0.000 0.000 0.000  0.07

Values from the calculation:
- SG: Fm-3m
- Formation energy (no corrections): -0.544 eV per atom